Record 1
{"formula": "Rb2LiTl6Sn", "functional": "PBE-GGA", "state": "optimized geometry", "lattice_angstrom": [[-3.6024, 4.4302, 5.7559], [-0.9024, -6.4198, 4.3439], [2.8725, -0.2777, 7.2688]], "species": ["Rb", "Rb", "Li", "Tl", "Tl", "Tl", "Tl", "Tl", "Tl", "Sn"], "fractional_positions": [[0.0697, 0.6888, 0.6195], [0.9303, 0.3112, 0.3805], [0.5000, 0.5000, 0.0000], [0.3713, 0.8538, 0.9728], [0.6293, 0.6559, 0.1992], [0.3692, 0.1703, 0.4848], [0.6287, 0.1462, 0.0272], [0.3707, 0.3441, 0.8008], [0.6308, 0.8297, 0.5152], [0.0000, 0.0000, 0.0000]], "m_tot_mub_per_fu": 0.00, "crystal_system": "triclinic", "ef_ev_per_fu": -0.7}

=====

Record 2
{"formula": "RbLiTl2Sn", "functional": "PBE-GGA", "state": "optimized geometry", "lattice_angstrom": [[-0.3273, 5.3319, -1.2245], [-1.7216, 1.0639, 5.0931], [5.0481, 0.6696, 1.5665]], "species": ["Tl", "Tl", "Sn", "Rb", "Li"], "fractional_positions": [[0.0000, 0.5000, 0.0000], [0.5000, 0.0000, 0.0000], [0.0000, 0.0000, 0.5000], [0.5000, 0.5000, 0.5000], [0.0000, 0.0000, 0.0000]], "m_tot_mub_per_fu": 0.00, "crystal_system": "tetragonal", "ef_ev_per_fu": -0.1}

=====

Record 3
{"formula": "Rb2LiSnW", "functional": "PBE-GGA", "state": "optimized geometry", "lattice_angstrom": [[-2.5312, -3.3400, -5.4432], [4.9629, -1.1556, -1.5987], [-0.1780, -5.8160, 3.6515]], "species": ["Rb", "Rb", "Sn", "W", "Li"], "fractional_positions": [[0.0000, 0.0000, 0.5000], [0.5000, 0.0000, 0.0000], [0.0000, 0.0000, 0.0000], [0.5000, 0.5000, 0.5000], [0.0000, 0.5000, 0.0000]], "m_tot_mub_per_fu": 5.23, "crystal_system": "tetragonal", "ef_ev_per_fu": 7.3}

=====

Record 4
{"formula": "RbLiZn2Sn", "functional": "PBE-GGA", "state": "optimized geometry", "lattice_angstrom": [[-0.6840, 0.3945, 5.1258], [4.6432, -1.9714, 0.7713], [2.0398, 4.7673, -0.0947]], "species": ["Zn", "Zn", "Sn", "Rb", "Li"], "fractional_positions": [[0.0000, 0.0000, 0.5000], [0.5000, 0.0000, 0.0000], [0.0000, 0.5000, 0.0000], [0.5000, 0.5000, 0.5000], [0.0000, 0.0000, 0.0000]], "m_tot_mub_per_fu": 0.00, "crystal_system": "tetragonal", "ef_ev_per_fu": 0.9}

=====

Record 5
{"formula": "Rb2SrLi", "functional": "PBE-GGA", "state": "optimized geometry", "lattice_angstrom": [[4.3622, 0.0000, 0.0000], [2.1811, 3.7778, 0.0000], [2.1811, 1.2593, 14.9790]], "species": ["Sr", "Rb", "Rb", "Li"], "fractional_positions": [[0.0000, 0.0000, 0.0000], [0.0964, 0.0964, 0.7109], [0.9036, 0.9036, 0.2891], [0.5000, 0.5000, 0.5000]], "m_tot_mub_per_fu": 0.00, "crystal_system": "trigonal", "ef_ev_per_fu": 1.0}

=====

Record 6
{"formula": "RbSrLi3", "functional": "PBE-GGA", "state": "optimized geometry", "lattice_angstrom": [[6.5308, 0.0000, 0.0000], [0.0000, 6.5308, 0.0000], [0.0000, 0.0000, 6.5308]], "species": ["Sr", "Rb", "Li", "Li", "Li"], "fractional_positions": [[0.0000, 0.0000, 0.0000], [0.5000, 0.5000, 0.5000], [0.0000, 0.5000, 0.0000], [0.0000, 0.0000, 0.5000], [0.5000, 0.0000, 0.0000]], "m_tot_mub_per_fu": 0.00, "crystal_system": "cubic", "ef_ev_per_fu": 2.6}

=====

Record 7
{"formula": "Rb2SrLi", "functional": "PBE-GGA", "state": "optimized geometry", "lattice_angstrom": [[-1.5641, 4.0793, -10.5224], [-1.7378, -10.5833, -3.8446], [-5.4889, -2.8813, -6.4693]], "species": ["Sr", "Sr", "Rb", "Rb", "Rb", "Rb", "Li", "Li"], "fractional_positions": [[0.0000, 0.0000, 0.0000], [0.7500, 0.2500, 0.5000], [0.5678, 0.1250, 0.2500], [0.1822, 0.6250, 0.2500], [0.3750, 0.4322, 0.7500], [0.8750, 0.8178, 0.7500], [0.5000, 0.5000, 0.0000], [0.2500, 0.7500, 0.5000]], "m_tot_mub_per_fu": 0.00, "crystal_system": "tetragonal", "ef_ev_per_fu": 1.1}

=====

Record 8
{"formula": "Rb2SrLi2", "functional": "PBE-GGA", "state": "optimized geometry", "lattice_angstrom": [[-8.0810, -0.8836, 7.6038], [-3.0893, -9.7399, -4.4150], [2.6201, -1.9885, 2.5535]], "species": ["Sr", "Sr", "Rb", "Rb", "Rb", "Rb", "Li", "Li", "Li", "Li"], "fractional_positions": [[0.0000, 0.0000, 0.0000], [0.5000, 0.5000, 0.0000], [0.3704, 0.8704, 0.0000], [0.8704, 0.6296, 0.0000], [0.6296, 0.1296, 0.0000], [0.1296, 0.3704, 0.0000], [0.1756, 0.6756, 0.5000], [0.6756, 0.8244, 0.5000], [0.8244, 0.3244, 0.5000], [0.3244, 0.1756, 0.5000]], "m_tot_mub_per_fu": 0.00, "crystal_system": "tetragonal", "ef_ev_per_fu": 1.3}

=====

Record 9
{"formula": "RbSrLi2", "functional": "PBE-GGA", "state": "optimized geometry", "lattice_angstrom": [[-3.0956, -2.6311, 1.0337], [3.8828, -2.8783, 4.3014], [-1.9899, 4.1337, 4.5624]], "species": ["Sr", "Rb", "Li", "Li"], "fractional_positions": [[0.5000, 0.5000, 0.5000], [0.5000, 0.0000, 0.0000], [0.0000, 0.0000, 0.5000], [0.0000, 0.5000, 0.0000]], "m_tot_mub_per_fu": 0.00, "crystal_system": "tetragonal", "ef_ev_per_fu": 0.6}

=====

Record 10
{"formula": "RbSr2Li", "functional": "PBE-GGA", "state": "optimized geometry", "lattice_angstrom": [[-4.0392, -9.7076, -0.4515], [8.8523, -3.8771, 4.1668], [0.8667, -6.3240, 5.5648]], "species": ["Sr", "Sr", "Sr", "Sr", "Rb", "Rb", "Li", "Li"], "fractional_positions": [[0.5616, 0.1250, 0.2500], [0.1884, 0.6250, 0.2500], [0.3750, 0.4384, 0.7500], [0.8750, 0.8116, 0.7500], [0.0000, 0.0000, 0.0000], [0.7500, 0.2500, 0.5000], [0.5000, 0.5000, 0.0000], [0.2500, 0.7500, 0.5000]], "m_tot_mub_per_fu": 0.00, "crystal_system": "tetragonal", "ef_ev_per_fu": 1.1}

=====

Record 11
{"formula": "Rb2SrLi", "functional": "PBE-GGA", "state": "optimized geometry", "lattice_angstrom": [[4.1790, 3.8227, 4.2870], [-2.6306, 5.6459, 3.4146], [-0.9638, -0.2347, 7.0336]], "species": ["Sr", "Rb", "Rb", "Li"], "fractional_positions": [[0.5000, 0.5000, 0.5000], [0.2500, 0.2500, 0.2500], [0.7500, 0.7500, 0.7500], [0.0000, 0.0000, 0.0000]], "m_tot_mub_per_fu": 0.00, "crystal_system": "cubic", "ef_ev_per_fu": 1.1}

=====

Record 12
{"formula": "Rb2SrLi2", "functional": "PBE-GGA", "state": "optimized geometry", "lattice_angstrom": [[-9.3244, -2.0873, -1.5427], [2.3843, -4.6153, -8.1668], [0.6094, -4.9010, 2.9477]], "species": ["Sr", "Sr", "Rb", "Rb", "Rb", "Rb", "Li", "Li", "Li", "Li"], "fractional_positions": [[0.0000, 0.0000, 0.0000], [0.5000, 0.5000, 0.0000], [0.1741, 0.6741, 0.5000], [0.6741, 0.8259, 0.5000], [0.8259, 0.3259, 0.5000], [0.3259, 0.1741, 0.5000], [0.3840, 0.8840, 0.0000], [0.8840, 0.6160, 0.0000], [0.6160, 0.1160, 0.0000], [0.1160, 0.3840, 0.0000]], "m_tot_mub_per_fu": 0.00, "crystal_system": "tetragonal", "ef_ev_per_fu": 1.0}

=====

no.,uncorrected energy (eV per cell)
1,-22.7
2,-11.7
3,-13.5
4,-8.5
5,-4.5
6,-5.7
7,-8.9
8,-12.3
9,-5.8
10,-10.3
11,-4.5
12,-12.8